No. 1
The following is a PBE calculation of a relaxed Ac4La6Th crystal, from Alexandria via LeMat-Bulk.

Calculated values
- E_tot: -0.1734 hartree per atom
- ΔE_f: 138 meV/atom
- Mass density: 7563 kg/m³

Cell and atoms, written as CIF:
```
data_Ac4La6Th
_chemical_formula_sum 'Ac8 La12 Th2'
_symmetry_space_group_name_H-M 'P 1'
_symmetry_Int_Tables_number 1
_cell_length_a 9.248
_cell_length_b 9.248
_cell_length_c 10.133
_cell_angle_alpha 90.00
_cell_angle_beta 90.00
_cell_angle_gamma 90.00
loop_
_symmetry_equiv_pos_as_xyz
'x,y,z'
loop_
_atom_site_label
_atom_site_type_symbol
_atom_site_fract_x
_atom_site_fract_y
_atom_site_fract_z
Ac1 Ac 0.354 0.146 0.250
Ac2 Ac 0.146 0.646 0.750
Ac3 Ac 0.646 0.854 0.750
Ac4 Ac 0.854 0.354 0.750
Ac5 Ac 0.354 0.146 0.750
Ac6 Ac 0.146 0.646 0.250
Ac7 Ac 0.854 0.354 0.250
Ac8 Ac 0.646 0.854 0.250
La1 La 0.342 0.847 0.500
La2 La 0.842 0.653 0.000
La3 La 0.653 0.158 0.000
La4 La 0.153 0.342 0.500
La5 La 0.000 0.000 0.173
La6 La 0.500 0.500 0.327
La7 La 0.347 0.842 0.000
La8 La 0.000 0.000 0.827
La9 La 0.158 0.347 0.000
La10 La 0.500 0.500 0.673
La11 La 0.847 0.658 0.500
La12 La 0.658 0.153 0.500
Th1 Th 0.500 0.500 0.000
Th2 Th 0.000 0.000 0.500
```

=====

No. 2
The following is a PBE calculation of a relaxed AcLaTh2 crystal, from Alexandria via LeMat-Bulk.

Calculated values
- E_tot: -0.2153 hartree per atom
- ΔE_f: 111 meV/atom
- Mass density: 9685 kg/m³
- ΔE to the lowest computed polymorph: 0 meV per atom

Cell and atoms, written as CIF:
```
data_AcLaTh2
_chemical_formula_sum 'Ac1 La1 Th2'
_symmetry_space_group_name_H-M 'P 1'
_symmetry_Int_Tables_number 1
_cell_length_a 3.682
_cell_length_b 3.682
_cell_length_c 12.304
_cell_angle_alpha 81.39
_cell_angle_beta 81.39
_cell_angle_gamma 60.00
loop_
_symmetry_equiv_pos_as_xyz
'x,y,z'
loop_
_atom_site_label
_atom_site_type_symbol
_atom_site_fract_x
_atom_site_fract_y
_atom_site_fract_z
Ac1 Ac 0.500 0.500 0.500
Th1 Th 0.748 0.748 0.755
Th2 Th 0.252 0.252 0.245
La1 La 0.000 0.000 0.000
```

=====

No. 3
The following is a PBE calculation of a relaxed Ac2La9Th crystal, from Alexandria via LeMat-Bulk.

Calculated values
- E_tot: -0.1831 hartree per atom
- ΔE_f: 15 meV/atom
- Mass density: 7212 kg/m³

Cell and atoms, written as CIF:
```
data_Ac2La9Th
_chemical_formula_sum 'Ac2 La9 Th1'
_symmetry_space_group_name_H-M 'P 1'
_symmetry_Int_Tables_number 1
_cell_length_a 5.283
_cell_length_b 5.283
_cell_length_c 15.973
_cell_angle_alpha 90.00
_cell_angle_beta 90.00
_cell_angle_gamma 90.00
loop_
_symmetry_equiv_pos_as_xyz
'x,y,z'
loop_
_atom_site_label
_atom_site_type_symbol
_atom_site_fract_x
_atom_site_fract_y
_atom_site_fract_z
Ac1 Ac 0.000 0.000 0.331
Ac2 Ac 0.000 0.000 0.669
La1 La 0.500 0.500 0.000
La2 La 0.500 0.500 0.332
La3 La 0.500 0.500 0.668
La4 La 0.500 0.000 0.156
La5 La 0.500 0.000 0.500
La6 La 0.500 0.000 0.844
La7 La 0.000 0.500 0.156
La8 La 0.000 0.500 0.500
La9 La 0.000 0.500 0.844
Th1 Th 0.000 0.000 0.000
```

=====

No. 4
The following is a PBE calculation of a relaxed Ac8La5Th crystal, from Alexandria via LeMat-Bulk.

Calculated values
- E_tot: -0.1617 hartree per atom
- ΔE_f: 236 meV/atom
- Mass density: 7679 kg/m³

Cell and atoms, written as CIF:
```
data_Ac8La5Th
_chemical_formula_sum 'Ac8 La5 Th1'
_symmetry_space_group_name_H-M 'P 1'
_symmetry_Int_Tables_number 1
_cell_length_a 9.177
_cell_length_b 9.177
_cell_length_c 9.177
_cell_angle_alpha 111.36
_cell_angle_beta 105.77
_cell_angle_gamma 111.36
loop_
_symmetry_equiv_pos_as_xyz
'x,y,z'
loop_
_atom_site_label
_atom_site_type_symbol
_atom_site_fract_x
_atom_site_fract_y
_atom_site_fract_z
Ac1 Ac 0.080 0.752 0.973
Ac2 Ac 0.027 0.108 0.779
Ac3 Ac 0.819 0.236 0.427
Ac4 Ac 0.573 0.392 0.809
Ac5 Ac 0.416 0.608 0.181
Ac6 Ac 0.671 0.892 0.920
Ac7 Ac 0.221 0.248 0.329
Ac8 Ac 0.191 0.764 0.584
La1 La 0.924 0.400 0.119
La2 La 0.881 0.805 0.281
La3 La 0.719 0.600 0.524
La4 La 0.500 0.000 0.500
La5 La 0.476 0.195 0.076
Th1 Th 0.250 0.500 0.750
```

=====

No. 5
The following is a PBE calculation of a relaxed Ac12La7Th crystal, from Alexandria via LeMat-Bulk.

Calculated values
- E_tot: -0.1447 hartree per atom
- ΔE_f: 623 meV/atom
- Mass density: 7007 kg/m³

Cell and atoms, written as CIF:
```
data_Ac12La7Th
_chemical_formula_sum 'Ac12 La7 Th1'
_symmetry_space_group_name_H-M 'P 1'
_symmetry_Int_Tables_number 1
_cell_length_a 10.654
_cell_length_b 10.654
_cell_length_c 10.654
_cell_angle_alpha 109.47
_cell_angle_beta 109.47
_cell_angle_gamma 109.47
loop_
_symmetry_equiv_pos_as_xyz
'x,y,z'
loop_
_atom_site_label
_atom_site_type_symbol
_atom_site_fract_x
_atom_site_fract_y
_atom_site_fract_z
Ac1 Ac 0.542 0.738 0.804
Ac2 Ac 0.934 0.738 0.196
Ac3 Ac 0.458 0.262 0.196
Ac4 Ac 0.066 0.262 0.804
Ac5 Ac 0.804 0.066 0.262
Ac6 Ac 0.804 0.542 0.738
Ac7 Ac 0.196 0.934 0.738
Ac8 Ac 0.196 0.458 0.262
Ac9 Ac 0.738 0.804 0.542
Ac10 Ac 0.262 0.196 0.458
Ac11 Ac 0.738 0.196 0.934
Ac12 Ac 0.262 0.804 0.066
La1 La 0.500 0.500 0.000
La2 La 0.000 0.500 0.500
La3 La 0.500 0.000 0.500
La4 La 0.500 0.500 0.500
La5 La 0.000 0.000 0.500
La6 La 0.500 0.000 0.000
La7 La 0.000 0.500 0.000
Th1 Th 0.000 0.000 0.000
```

=====

No. 6
The following is a PBE calculation of a relaxed AcLa2Th crystal, from Alexandria via LeMat-Bulk.

Calculated values
- E_tot: -0.1954 hartree per atom
- ΔE_f: 29 meV/atom
- Mass density: 8223 kg/m³
- ΔE to the lowest computed polymorph: 0 meV per atom

Cell and atoms, written as CIF:
```
data_AcLa2Th
_chemical_formula_sum 'Ac1 La2 Th1'
_symmetry_space_group_name_H-M 'P 1'
_symmetry_Int_Tables_number 1
_cell_length_a 3.702
_cell_length_b 3.702
_cell_length_c 10.860
_cell_angle_alpha 90.00
_cell_angle_beta 90.00
_cell_angle_gamma 90.00
loop_
_symmetry_equiv_pos_as_xyz
'x,y,z'
loop_
_atom_site_label
_atom_site_type_symbol
_atom_site_fract_x
_atom_site_fract_y
_atom_site_fract_z
Ac1 Ac 0.500 0.500 0.500
Th1 Th 0.500 0.500 0.000
La1 La 0.000 0.000 0.775
La2 La 0.000 0.000 0.225
```

=====

No. 7
The following is a PBE calculation of a relaxed Ac2LaTh crystal, from Alexandria via LeMat-Bulk.

Calculated values
- E_tot: -0.1857 hartree per atom
- ΔE_f: 88 meV/atom
- Mass density: 8745 kg/m³
- ΔE to the lowest computed polymorph: 0 meV per atom

Cell and atoms, written as CIF:
```
data_Ac2LaTh
_chemical_formula_sum 'Ac2 La1 Th1'
_symmetry_space_group_name_H-M 'P 1'
_symmetry_Int_Tables_number 1
_cell_length_a 3.807
_cell_length_b 3.807
_cell_length_c 12.669
_cell_angle_alpha 81.36
_cell_angle_beta 81.36
_cell_angle_gamma 60.00
loop_
_symmetry_equiv_pos_as_xyz
'x,y,z'
loop_
_atom_site_label
_atom_site_type_symbol
_atom_site_fract_x
_atom_site_fract_y
_atom_site_fract_z
Ac1 Ac 0.080 0.080 0.759
Ac2 Ac 0.253 0.253 0.241
La1 La 0.499 0.499 0.502
Th1 Th 0.667 0.667 0.999
```

=====

No. 8
The following is a PBE calculation of a relaxed AcLa4Tm2Th crystal, from Alexandria via LeMat-Bulk.

Calculated values
- E_tot: -0.1828 hartree per atom
- ΔE_f: 49 meV/atom
- Mass density: 7916 kg/m³

Cell and atoms, written as CIF:
```
data_AcLa4Tm2Th
_chemical_formula_sum 'Ac1 La4 Tm2 Th1'
_symmetry_space_group_name_H-M 'P 1'
_symmetry_Int_Tables_number 1
_cell_length_a 5.182
_cell_length_b 6.423
_cell_length_c 9.750
_cell_angle_alpha 90.61
_cell_angle_beta 74.59
_cell_angle_gamma 66.21
loop_
_symmetry_equiv_pos_as_xyz
'x,y,z'
loop_
_atom_site_label
_atom_site_type_symbol
_atom_site_fract_x
_atom_site_fract_y
_atom_site_fract_z
Ac1 Ac 0.500 0.500 0.500
La1 La 0.119 0.128 0.635
La2 La 0.371 0.376 0.883
La3 La 0.881 0.872 0.365
La4 La 0.629 0.624 0.117
Tm1 Tm 0.735 0.769 0.761
Tm2 Tm 0.265 0.231 0.239
Th1 Th 0.000 0.000 0.000
```

=====

No. 9
The following is a PBE calculation of a relaxed AcLaThZn crystal, from Alexandria via LeMat-Bulk.

Calculated values
- E_tot: -0.1553 hartree per atom
- ΔE_f: 206 meV/atom
- Mass density: 8667 kg/m³

Cell and atoms, written as CIF:
```
data_AcLaThZn
_chemical_formula_sum 'Ac1 La1 Th1 Zn1'
_symmetry_space_group_name_H-M 'P 1'
_symmetry_Int_Tables_number 1
_cell_length_a 5.643
_cell_length_b 5.643
_cell_length_c 5.643
_cell_angle_alpha 60.00
_cell_angle_beta 60.00
_cell_angle_gamma 60.00
loop_
_symmetry_equiv_pos_as_xyz
'x,y,z'
loop_
_atom_site_label
_atom_site_type_symbol
_atom_site_fract_x
_atom_site_fract_y
_atom_site_fract_z
Ac1 Ac 0.500 0.500 0.500
Zn1 Zn 0.000 0.000 0.000
Th1 Th 0.750 0.750 0.750
La1 La 0.250 0.250 0.250
```

=====

No. 10
The following is a PBE calculation of a relaxed Ac2LaTi crystal, from Alexandria via LeMat-Bulk.

Calculated values
- E_tot: -0.1714 hartree per atom
- ΔE_f: 596 meV/atom
- Mass density: 7259 kg/m³

Cell and atoms, written as CIF:
```
data_Ac2LaTi
_chemical_formula_sum 'Ac2 La1 Ti1'
_symmetry_space_group_name_H-M 'P 1'
_symmetry_Int_Tables_number 1
_cell_length_a 3.651
_cell_length_b 3.651
_cell_length_c 12.868
_cell_angle_alpha 81.84
_cell_angle_beta 81.84
_cell_angle_gamma 60.00
loop_
_symmetry_equiv_pos_as_xyz
'x,y,z'
loop_
_atom_site_label
_atom_site_type_symbol
_atom_site_fract_x
_atom_site_fract_y
_atom_site_fract_z
Ac1 Ac 0.082 0.082 0.753
Ac2 Ac 0.918 0.918 0.247
Ti1 Ti 0.000 0.000 0.000
La1 La 0.500 0.500 0.500
```